Entry 1:
# PBEsol TiAg2AsAu, relaxed
# - DOS at the Fermi energy (states/eV/cell) = 6.7
# - total moment (μB per atom) = 0.44
data_TiAg2AsAu
_symmetry_space_group_name_H-M 'P 1'
_symmetry_Int_Tables_number 1
_cell_length_a 4.7502
_cell_length_b 4.9774
_cell_length_c 4.9774
_cell_angle_alpha 90.00
_cell_angle_beta 90.00
_cell_angle_gamma 90.00
loop_
_symmetry_equiv_pos_as_xyz
'x,y,z'
loop_
_atom_site_label
_atom_site_fract_x
_atom_site_fract_y
_atom_site_fract_z
Ti1 0.5000 0.5000 0.5000
Ag1 0.0000 0.0000 0.5000
As1 0.5000 0.0000 0.0000
Ag2 0.0000 0.5000 0.0000
Au1 0.0000 0.0000 0.0000


Entry 2:
# PBEsol AlCr2B2, relaxed
# - DOS at the Fermi energy (states/eV/cell) = 2.5
# - polymorph energy (0 for the lowest one) (meV per atom) = 0
# - total moment (μB per atom) = 0.00
data_AlCr2B2
_symmetry_space_group_name_H-M 'P 1'
_symmetry_Int_Tables_number 1
_cell_length_a 2.9007
_cell_length_b 2.8953
_cell_length_c 5.6727
_cell_angle_alpha 90.00
_cell_angle_beta 104.81
_cell_angle_gamma 90.00
loop_
_symmetry_equiv_pos_as_xyz
'x,y,z'
loop_
_atom_site_label
_atom_site_fract_x
_atom_site_fract_y
_atom_site_fract_z
B1 0.7053 0.5000 0.4106
Cr1 0.1481 0.0000 0.2962
Al1 0.5000 0.5000 0.0000
B2 0.2947 0.5000 0.5894
Cr2 0.8519 0.0000 0.7038


Entry 3:
# PBEsol LiZr3O, relaxed
# - DOS at the Fermi energy (states/eV/cell) = 2.8
# - total moment (μB per atom) = 0.00
data_LiZr3O
_symmetry_space_group_name_H-M 'P 1'
_symmetry_Int_Tables_number 1
_cell_length_a 4.4174
_cell_length_b 4.4174
_cell_length_c 4.4174
_cell_angle_alpha 90.00
_cell_angle_beta 90.00
_cell_angle_gamma 90.00
loop_
_symmetry_equiv_pos_as_xyz
'x,y,z'
loop_
_atom_site_label
_atom_site_fract_x
_atom_site_fract_y
_atom_site_fract_z
Li1 0.5000 0.5000 0.5000
O1 0.0000 0.0000 0.0000
Zr1 0.0000 0.5000 0.0000
Zr2 0.0000 0.0000 0.5000
Zr3 0.5000 0.0000 0.0000


E for every record listed, in sequence, given in eV/cell: -19.59 -41.20 -39.30.
Volume for every record listed, in sequence, given in Å³/f.u.: 117.7 46.1 86.2.